Y2TcOs (PBE, relaxed); size of the total moment = 0.00 Bohr magnetons per cell; formation energy = -7.2 kJ/mol of atoms; volume = 95.1 Å³ per cell; E_tot = -8.705 eV per atom; mass density = 8.13 Mg/m³
1.0
-0.555 1.075 3.969
-4.323 -1.063 -0.316
-1.089 -5.341 1.294
Y Os Tc
2 1 1
direct
0.500 0.269 0.336
0.000 0.979 0.917
0.000 0.682 0.510
0.500 0.570 0.736